(1)
12
Lattice="4.9209 0.0000 1.6368 2.3382 11.6572 1.1860 -0.3195 -0.4063 9.1761" Properties=species:S:1:pos:R:3 comment="Cs4DyCl7 GGA-PBE relaxed" dft_energy_ev_per_atom=-3.6182 spacegroup="C2/m, No. 12" pbc="T T T"
Cl 5.4050 9.7609 8.3968
Cl 2.4604 0.0000 0.8184
Cl 1.9978 9.3622 2.2091
Cl 4.9417 1.8888 9.7897
Cl 2.7826 5.6832 8.0652
Cl 4.1569 5.5677 3.9336
Cl 1.5345 1.4900 3.6021
Dy 0.0000 0.0000 0.0000
Cs 3.4187 2.8984 6.1530
Cs 3.5208 8.3525 5.8459
Cs 2.1940 4.1564 1.6195
Cs 4.7456 7.0945 10.3793

(2)
9
Lattice="-1.4112 -4.6402 1.2389 7.7355 -2.7114 -1.3440 -1.5136 4.6236 7.6287" Properties=species:S:1:pos:R:3 comment="Cs2DyCl6 GGA-PBE relaxed" dft_energy_ev_per_atom=-3.7338 spacegroup="C2/m, No. 12" pbc="T T T"
Cl -1.7566 -0.8372 6.5601
Cl 0.7496 -2.8302 0.3666
Cl 2.0524 -0.3082 1.7479
Cl 6.5673 -1.8908 0.9634
Cl 2.7583 -2.4198 5.7757
Cl 5.5747 -4.5215 -0.4718
Cs 3.7230 -3.3298 2.4771
Cs 1.0877 0.6018 5.0464
Dy 0.0000 0.0000 0.0000

(3)
12
Lattice="6.5312 -0.3399 0.1039 2.7112 5.9516 0.1039 0.7679 0.4663 10.1783" Properties=species:S:1:pos:R:3 comment="CsDyFe2Cl8 GGA-PBE relaxed" dft_energy_ev_per_atom=-4.5240 spacegroup="C2/m, No. 12" pbc="T T T"
Cl 3.0289 1.8390 10.1018
Cl 6.6589 4.0431 4.2452
Cl 6.9815 4.2389 0.2842
Cl 5.6268 1.2491 2.0422
Cl 3.7039 4.4162 2.0422
Cl 4.3836 4.8289 8.3438
Cl 3.3514 2.0349 6.1409
Cl 6.3065 1.6618 8.3438
Cs 0.3840 0.2331 5.0891
Fe 4.1160 2.4991 8.1703
Fe 5.8944 3.5789 2.2158
Dy 0.0000 0.0000 0.0000

(4)
10
Lattice="-2.4773 -7.5076 -0.0978 3.2104 -5.2866 4.9249 -4.2264 -2.8473 6.0449" Properties=species:S:1:pos:R:3 comment="Cs2DyGaCl6 GGA-PBE relaxed" dft_energy_ev_per_atom=-3.9496 spacegroup="Fm-3m, No. 225" pbc="T T T"
Cl -1.3614 -7.9859 8.3537
Cl -2.1319 -7.6556 2.5183
Cl -3.0541 -5.1985 5.7570
Cl -0.4392 -10.4430 5.1150
Cl 0.8670 -6.4846 5.1665
Cl -4.3602 -9.1569 5.7055
Dy 0.0000 0.0000 0.0000
Cs -2.6200 -11.7311 8.1540
Cs -0.8733 -3.9104 2.7180
Ga -1.7466 -7.8208 5.4360

(5)
9
Lattice="7.0555 0.0000 0.0000 3.5278 6.1102 0.0002 0.0001 -0.0001 7.7124" Properties=species:S:1:pos:R:3 comment="CsDyHgCl6 GGA-PBE relaxed" dft_energy_ev_per_atom=-3.5528 spacegroup="P312, No. 149" pbc="T T T"
Hg 3.5277 2.0367 3.8562
Cl 8.3662 2.3550 2.3012
Cl 5.7447 2.3549 5.4114
Cl 4.9119 3.7975 2.3011
Cl 9.1992 3.7976 5.4115
Cl 6.2226 6.0679 5.4114
Cl 7.8884 6.0677 2.3012
Dy 7.0556 4.0735 3.8560
Cs 7.0556 -0.0001 7.7124

(6)
12
Lattice="6.6176 0.4820 0.7431 0.4725 6.9628 1.3827 0.9559 1.9919 9.4246" Properties=species:S:1:pos:R:3 comment="CsDyHg2Cl8 GGA-PBE relaxed" dft_energy_ev_per_atom=-3.1096 spacegroup="P-1, No. 2" pbc="T T T"
Hg 3.9760 4.9088 7.8557
Hg 4.0701 4.5279 3.6947
Cl 4.5149 6.4066 6.0845
Cl 1.4184 5.5496 3.4160
Cl 6.6277 3.8871 8.1345
Cl 2.6771 7.4646 9.0879
Cl 3.5312 3.0302 5.4660
Cl 5.3690 1.9722 2.4626
Cl 4.9517 5.7413 1.8230
Cl 3.0944 3.6954 9.7274
Dy 0.0000 0.0000 0.0000
Cs 0.4780 0.9960 4.7123